First-principles (PBE-GGA) data for crystalline BaLiAlCl6 at its relaxed geometry, as listed in the Alexandria database.

a = 6.522 Å, b = 6.522 Å, c = 6.579 Å
α = 90.00°, β = 90.00°, γ = 59.99°
Fractional coordinates of all 9 atoms:
Cl: 0.360 0.026 0.707
Cl: 0.614 0.026 0.293
Cl: 0.360 0.614 0.293
Cl: 0.026 0.614 0.707
Cl: 0.026 0.360 0.293
Cl: 0.614 0.360 0.707
Li: 0.667 0.667 0.500
Al: 0.333 0.333 0.500
Ba: 0.000 0.000 0.000

Values from the calculation:
Calculated volume ... 242.3 Å³/cell



First-principles (PBE-GGA) data for crystalline CdSbIr2 at its relaxed geometry, as listed in the Alexandria database.

a = 2.987 Å, b = 2.987 Å, c = 9.272 Å
α = 90.00°, β = 90.00°, γ = 119.09°
Fractional coordinates of all 4 atoms:
Cd: 0.500 0.500 0.750
Sb: 0.500 0.500 0.250
Ir: 0.000 0.000 0.005
Ir: 0.000 0.000 0.495

Values from the calculation:
Calculated volume ... 72.3 Å³/cell
Polymorph energy (0 for the lowest one) ... 0.276 eV/atom



First-principles (PBE-GGA) data for crystalline Pr3Mg2UN6 at its relaxed geometry, as listed in the Alexandria database.

a = 6.012 Å, b = 6.012 Å, c = 6.089 Å
α = 98.98°, β = 98.98°, γ = 120.36°
Fractional coordinates of all 12 atoms:
N: 0.077 0.385 0.222
N: 0.615 0.923 0.778
N: 0.385 0.077 0.222
N: 0.228 0.228 0.772
N: 0.772 0.772 0.228
N: 0.923 0.615 0.778
Pr: 0.172 0.828 0.500
Pr: 0.500 0.500 0.500
Pr: 0.828 0.172 0.500
Mg: 0.667 0.333 0.000
Mg: 0.333 0.667 0.000
U: 0.000 0.000 0.000

Values from the calculation:
Calculated volume ... 180.3 Å³/cell



| no. | ΔE_f (raw) (eV per atom) |
| --- | --- |
| 1 | -1.892 |
| 2 | 0.437 |
| 3 | -1.106 |